(1)
This record from OQMD via LeMat-Bulk describes a relaxed Tl2PtI6 crystal. The functional is PBE.

Geometry as POSCAR:
```
Tl2PtI6
1.0
0.000 5.546 5.546
5.546 0.000 5.546
5.546 5.546 0.000
I Pt Tl
6 1 2
direct
0.758 0.242 0.242
0.242 0.758 0.242
0.758 0.758 0.242
0.758 0.242 0.758
0.242 0.242 0.758
0.242 0.758 0.758
0.000 0.000 0.000
0.250 0.250 0.250
0.750 0.750 0.750
```

Calculated values
E = -2.5819 eV/atom

---

(2)
This record from OQMD via LeMat-Bulk describes a relaxed Hf2Hg3Pd crystal. The functional is PBE.

Geometry as POSCAR:
```
Hf2Hg3Pd
1.0
-1.080 3.080 -0.977
-3.228 -1.074 0.183
-0.439 3.025 10.019
Hf Hg Pd
2 3 1
direct
0.500 0.500 0.518
0.000 0.000 0.974
0.500 0.500 0.148
0.000 0.000 0.334
0.000 0.000 0.684
0.500 0.500 0.842
```

Calculated values
ΔH_f (0 K) = -0.15 eV/atom

---

What did the second record say?
This record from OQMD via LeMat-Bulk describes a relaxed Hf2Hg3Pd crystal. The functional is PBE.

Geometry as POSCAR:
```
Hf2Hg3Pd
1.0
-1.080 3.080 -0.977
-3.228 -1.074 0.183
-0.439 3.025 10.019
Hf Hg Pd
2 3 1
direct
0.500 0.500 0.518
0.000 0.000 0.974
0.500 0.500 0.148
0.000 0.000 0.334
0.000 0.000 0.684
0.500 0.500 0.842
```

Calculated values
ΔH_f (0 K) = -0.15 eV/atom